1.
Material: KRbTl2Au
Method: DFT, PBE
State: optimized geometry

Output
space-group type	Imm2
energy of formation from the pure elements	-11	kJ/mol of atoms
distance to the lowest polymorph of the same formula	0.0	meV/atom

a b c (Å): 4.812 5.352 8.101
angles (deg): 109.29 107.28 90.00
Element x y z (fractional)
K 0.193 0.693 0.386
Rb 0.424 0.424 0.849
Tl 0.716 0.216 0.432
Tl 0.038 0.038 0.077
Au 0.840 0.840 0.680

2.
Material: HgWSeN2
Method: DFT, PBE
State: optimized geometry

Output
space-group type	P4/mmm
formation energy (no corrections)	33.0	kJ/mol of atoms
distance to the lowest polymorph of the same formula	0.0	meV/atom

a b c (Å): 3.946 3.946 5.416
angles (deg): 90.00 90.00 90.00
Element x y z (fractional)
Se 0.000 0.000 0.500
Hg 0.500 0.500 0.500
W 0.000 0.000 0.000
N 0.000 0.500 0.000
N 0.500 0.000 0.000

3.
Material: Nd7Sm2Tm2
Method: DFT, PBE
State: optimized geometry

Output
space-group type	P-1
energy of formation from the pure elements	1	kJ/mol of atoms
distance to the lowest polymorph of the same formula	0.0	meV/atom

a b c (Å): 10.307 6.290 31.061
angles (deg): 107.54 131.54 114.19
Element x y z (fractional)
Nd 0.478 0.229 0.273
Nd 0.161 0.412 0.092
Nd 0.390 0.139 0.365
Nd 0.978 0.228 0.273
Nd 0.430 0.676 0.817
Nd 0.207 0.956 0.547
Nd 0.340 0.591 0.909
Nd 0.660 0.409 0.091
Nd 0.793 0.044 0.453
Nd 0.570 0.324 0.183
Nd 0.022 0.772 0.727
Nd 0.610 0.861 0.635
Nd 0.839 0.588 0.908
Nd 0.522 0.771 0.727
Sm 0.705 0.955 0.545
Sm 0.252 0.499 0.000
Sm 0.748 0.501 0.000
Sm 0.295 0.045 0.455
Tm 0.072 0.321 0.182
Tm 0.114 0.862 0.636
Tm 0.886 0.138 0.364
Tm 0.928 0.679 0.818

4.
Material: ScZnNiSn2
Method: DFT, PBE
State: optimized geometry

Output
space-group type	P4/mmm
energy of formation from the pure elements	32	kJ/mol of atoms

a b c (Å): 5.097 4.432 5.097
angles (deg): 90.00 90.00 90.00
Element x y z (fractional)
Sc 0.500 0.500 0.500
Ni 0.000 0.500 0.000
Zn 0.000 0.000 0.000
Sn 0.000 0.000 0.500
Sn 0.500 0.000 0.000

5.
Material: AcIn3Hg
Method: DFT, PBE
State: optimized geometry

Output
space-group type	P6_3/mmc
energy of formation from the pure elements	-16	kJ/mol of atoms
distance to the lowest polymorph of the same formula	152.7	meV/atom

a b c (Å): 6.531 7.265 7.265
angles (deg): 120.02 90.00 90.00
Element x y z (fractional)
Ac 0.750 0.667 0.333
Ac 0.250 0.333 0.667
In 0.750 0.609 0.805
In 0.250 0.805 0.609
In 0.250 0.391 0.195
In 0.750 0.195 0.391
In 0.250 0.805 0.195
In 0.750 0.195 0.805
Hg 0.000 0.000 0.000
Hg 0.500 0.000 0.000

6.
Material: In2SiPtF
Method: DFT, PBE
State: optimized geometry

Output
space-group type	P4/mmm
formation energy (no corrections)	-27.8	kJ/mol of atoms

a b c (Å): 5.219 3.676 5.219
angles (deg): 90.00 90.00 90.00
Element x y z (fractional)
Si 0.000 0.000 0.000
F 0.000 0.500 0.000
Pt 0.500 0.500 0.500
In 0.000 0.000 0.500
In 0.500 0.000 0.000